No. 1
This record from the Alexandria database describes Ce3ErRu3 after structural relaxation. The functional is PBE.

extended XYZ file:
```
14
Lattice="6.787 0.682 0.351 -2.413 6.380 0.351 -0.294 -0.474 7.267" Properties=species:S:1:pos:R:3 pbc="T T T"
Ru -0.949 3.440 2.143
Ru 0.578 5.905 5.825
Ru 0.220 0.355 5.731
Ru 3.503 0.683 2.143
Ru 5.029 3.148 5.825
Ru 3.861 6.233 2.237
Ce 4.431 2.141 0.351
Ce -0.057 4.921 0.351
Ce -0.895 5.112 3.984
Ce 1.435 2.317 4.920
Ce 2.645 4.271 3.048
Ce 4.975 1.476 3.984
Er 0.975 1.575 1.129
Er 3.105 5.013 6.839
```

Properties
DFT formation energy ... -0.295 eV per atom
Theoretical density ... 9.00 Mg/m³
Space group ... No. 12



No. 2
This record from the Alexandria database describes TbZnCdPt after structural relaxation. The functional is PBE.

extended XYZ file:
```
4
Lattice="-1.236 3.605 2.962 -3.628 -0.584 3.130 0.920 -0.336 4.726" Properties=species:S:1:pos:R:3 pbc="T T T"
Tb 0.000 0.000 0.000
Zn -0.986 0.671 2.705
Cd -1.972 1.343 5.409
Pt -2.958 2.014 8.114
```

Properties
DFT formation energy ... -0.587 eV per atom
Theoretical density ... 11.10 Mg/m³
Space group ... No. 216



No. 3
This record from the Alexandria database describes LiCu2P5O16 after structural relaxation. The functional is PBE.

extended XYZ file:
```
48
Lattice="-5.389 1.102 3.825 1.020 -4.095 2.616 10.449 9.860 11.882" Properties=species:S:1:pos:R:3 pbc="T T T"
Li 2.700 4.653 9.083
Li -1.834 -0.418 2.652
O 5.461 8.357 13.479
O -0.277 -0.439 6.902
O 1.053 6.347 10.436
O 6.747 6.366 9.155
O 8.626 4.615 12.257
O -0.019 2.711 6.198
O 9.544 7.166 11.789
O 4.520 4.707 10.103
O -1.537 -2.411 5.801
O -3.409 -0.307 6.568
O 0.341 0.495 1.292
O -0.671 0.518 9.207
O 5.673 6.402 17.115
O 1.116 4.536 7.661
O 4.171 3.714 7.617
O -0.480 -2.235 2.736
O 0.630 -1.427 4.856
O 1.899 3.277 10.697
O -0.696 3.261 9.408
O 7.430 6.838 13.590
O 1.493 2.053 8.155
O 2.372 2.990 6.023
O 6.140 4.246 11.996
O 6.251 7.427 11.397
O 6.789 3.606 8.978
O 4.978 2.256 10.826
O -1.418 -0.077 4.668
O 3.733 3.937 12.303
O 6.588 9.218 15.551
O 5.132 0.515 7.850
O -2.504 2.260 6.073
O 7.744 9.179 12.606
P 4.864 3.717 11.206
P 5.188 9.124 14.900
P -0.444 -0.773 8.474
P 1.226 3.119 7.114
P 2.142 3.527 12.200
P -0.768 -1.129 5.554
P 6.834 7.971 12.782
P 7.545 3.592 12.452
P 3.960 3.377 6.122
P 0.895 -2.216 3.436
Cu -3.238 0.797 4.925
Cu 0.622 1.865 9.947
Cu 5.521 5.004 8.357
Cu 9.282 6.092 13.449
```

Properties
Formation energy (no corrections) ... -1750 meV/atom
Theoretical density ... 2.92 Mg/m³
Space group ... No. 7



No. 4
This record from the Alexandria database describes Ac4Pr3PuS8 after structural relaxation. The functional is PBE.

extended XYZ file:
```
16
Lattice="-4.657 1.573 -6.778 -1.843 -8.164 -0.628 -1.505 4.082 7.153" Properties=species:S:1:pos:R:3 pbc="T T T"
Pu -0.922 -4.082 -0.314
S -2.429 0.336 1.747
S -6.341 -0.761 1.550
S -3.207 -3.637 1.359
S -5.576 -2.844 -2.000
S -1.664 -1.747 -1.803
S -3.972 -1.561 4.997
S -4.033 -0.947 -5.250
S -4.799 1.129 -1.612
Ac -0.753 2.041 3.576
Ac 0.000 0.000 0.000
Ac -2.328 0.787 -3.389
Ac -3.081 2.828 0.188
Pr -3.250 -3.295 -3.703
Pr -4.003 -1.254 -0.127
Pr -1.674 -2.041 3.262
```

Properties
Formation energy (no corrections) ... -1976 meV/atom
Theoretical density ... 7.30 Mg/m³
Space group ... No. 166



No. 5
This record from the Alexandria database describes Ti2Ga4Pt after structural relaxation. The functional is PBE.

extended XYZ file:
```
7
Lattice="6.050 -0.087 0.103 -0.095 6.050 -0.103 -2.921 -3.038 3.235" Properties=species:S:1:pos:R:3 pbc="T T T"
Ga 4.354 4.268 0.182
Ga 1.365 -1.363 3.107
Ga 1.693 1.603 0.182
Ga 1.476 4.481 0.403
Ti -0.161 2.743 1.712
Ti 3.307 0.070 1.815
Pt 3.023 2.936 2.306
```

Properties
DFT formation energy ... -0.376 eV per atom
Theoretical density ... 8.00 Mg/m³
Space group ... No. 8



No. 6
This record from the Alexandria database describes NaCdAgRh after structural relaxation. The functional is PBE.

extended XYZ file:
```
4
Lattice="4.692 0.000 0.000 2.346 4.064 0.000 2.346 1.355 3.831" Properties=species:S:1:pos:R:3 pbc="T T T"
Cd 4.692 2.709 1.916
Na 7.038 4.064 2.873
Ag 0.000 0.000 0.000
Rh 2.346 1.355 0.958
```

Properties
DFT formation energy ... 0.064 eV per atom
Theoretical density ... 7.87 Mg/m³
Space group ... No. 216



No. 7
This record from the Alexandria database describes ScMn6 after structural relaxation. The functional is PBE.

extended XYZ file:
```
28
Lattice="4.691 0.000 0.000 0.000 7.785 0.000 0.000 0.000 9.742" Properties=species:S:1:pos:R:3 pbc="T T T"
Mn 3.518 7.349 0.804
Mn 3.518 2.835 6.299
Mn 3.518 1.478 2.379
Mn 1.173 4.328 5.675
Mn 1.173 1.058 1.428
Mn 4.628 4.458 7.864
Mn 4.628 0.565 6.749
Mn 0.062 7.219 2.993
Mn 2.407 0.565 6.749
Mn 3.518 0.687 4.628
Mn 1.173 0.436 8.938
Mn 3.518 4.580 0.243
Mn 1.173 2.415 7.249
Mn 3.518 3.456 4.067
Mn 2.283 3.327 1.878
Mn 1.173 4.950 3.443
Mn 2.407 4.458 7.864
Mn 1.173 6.307 7.363
Mn 1.173 7.097 5.114
Mn 3.518 5.370 2.492
Mn 3.518 6.727 8.314
Mn 2.283 7.219 2.993
Mn 0.062 3.327 1.878
Mn 1.173 3.205 9.499
Sc 3.518 5.830 5.498
Sc 1.173 1.955 4.243
Sc 1.173 5.847 0.627
Sc 3.518 1.938 9.114
```

Properties
DFT formation energy ... -0.018 eV per atom
Theoretical density ... 6.99 Mg/m³
Offset from the most stable computed form ... 0.00 kcal/mol of atoms
Space group ... No. 62



No. 8
This record from the Alexandria database describes Ac2Ni3Bi4Pd after structural relaxation. The functional is PBE.

extended XYZ file:
```
10
Lattice="-2.870 -0.193 -3.862 3.575 -1.964 -2.559 -3.178 -9.479 2.835" Properties=species:S:1:pos:R:3 pbc="T T T"
Ac -0.550 -7.955 0.806
Ac -2.275 -2.602 -1.182
Bi 0.617 -4.472 -0.236
Bi 0.000 0.000 0.000
Bi 0.353 -1.078 -3.210
Bi -3.443 -6.085 -0.140
Ni -1.589 -4.739 1.417
Ni 1.417 -2.089 -0.948
Ni -4.242 -8.469 0.573
Pd -1.236 -5.818 -1.793
```

Properties
DFT formation energy ... -0.465 eV per atom
Theoretical density ... 10.84 Mg/m³
Space group ... No. 115



No. 9
This record from the Alexandria database describes LiInSn after structural relaxation. The functional is PBE.

extended XYZ file:
```
6
Lattice="-3.463 -3.793 0.718 4.430 0.012 2.697 -2.771 3.389 4.537" Properties=species:S:1:pos:R:3 pbc="T T T"
Sn -1.525 -1.678 2.512
Sn -0.279 1.285 5.440
Li -1.386 1.694 2.268
Li 0.000 0.000 0.000
In 1.106 -0.409 3.172
In -2.910 0.016 4.780
```

Properties
DFT formation energy ... -0.150 eV per atom
Theoretical density ... 5.44 Mg/m³
Space group ... No. 194



No. 10
This record from the Alexandria database describes GaBi2Pd6 after structural relaxation. The functional is PBE.

extended XYZ file:
```
9
Lattice="-1.639 2.420 2.002 3.671 -2.465 5.986 3.844 4.307 -5.210" Properties=species:S:1:pos:R:3 pbc="T T T"
Pd 1.972 -0.664 5.551
Pd 4.544 -0.556 4.383
Pd 2.344 0.922 0.796
Pd 3.533 3.340 1.981
Pd 0.061 0.619 2.436
Pd 1.333 4.817 -1.606
Bi 3.345 2.955 -0.835
Bi 2.532 1.306 3.612
Ga 0.000 0.000 0.000
```

Properties
DFT formation energy ... -0.277 eV per atom
Theoretical density ... 10.76 Mg/m³
Space group ... No. 12



No. 11
This record from the Alexandria database describes K2InBr after structural relaxation. The functional is PBE.

extended XYZ file:
```
4
Lattice="-6.425 -2.993 -7.780 -4.244 -6.519 -7.090 -7.573 -5.604 -4.692" Properties=species:S:1:pos:R:3 pbc="T T T"
K -17.997 -14.913 -19.300
K -9.366 -7.760 -10.043
In -13.681 -11.336 -14.672
Br -4.560 -3.779 -4.891
```

Properties
Formation energy (no corrections) ... -734 meV/atom
Theoretical density ... 2.89 Mg/m³
Offset from the most stable computed form ... 0.80 kcal/mol of atoms
Space group ... No. 166



No. 12
This record from the Alexandria database describes Zr2MoW after structural relaxation. The functional is PBE.

extended XYZ file:
```
4
Lattice="5.622 -0.002 -0.006 4.635 3.181 -0.006 2.023 0.627 4.271" Properties=species:S:1:pos:R:3 pbc="T T T"
Zr 10.187 3.157 0.024
Zr 9.296 2.881 3.150
W 2.902 0.900 1.152
Mo 6.293 1.950 2.049
```

Properties
DFT formation energy ... 0.029 eV per atom
Theoretical density ... 10.04 Mg/m³
Offset from the most stable computed form ... 0.01 kcal/mol of atoms
Space group ... No. 44



no.,V (Å³ per atom),total magnetization (μB/atom)
1,23.48,0.0473
2,19.88,0.0000
3,12.92,0.1663
4,26.03,0.3547
5,16.90,0.0000
6,18.26,0.0000
7,12.70,0.4796
8,24.10,0.0000
9,24.48,0.0000
10,19.31,0.0000
11,39.18,0.0000
12,19.11,0.0000